Entry 1:
Computed, not measured: crystalline SrDyZnAu at its relaxed geometry at the PBE-GGA level of DFT.

Theoretical density, g/cm³: 8.3
Crystal system: cubic
Formation energy from the elements, eV/atom: -0.45
Calculated total energy, eV/atom: -3.156

Cell lengths 5.2444, 5.2444, 5.2444 Å; angles 60.00, 60.00, 60.00 degrees
Last column: nearest neighbours and their distance in Å.
Element x y z (fractional)
Dy 0.5000 0.5000 0.5000  4 Au 3.21, 4 Zn 3.21
Au 0.2500 0.2500 0.2500  4 Dy 3.21, 4 Sr 3.21
Zn 0.7500 0.7500 0.7500  4 Sr 3.21, 4 Dy 3.21
Sr 0.0000 0.0000 0.0000  4 Zn 3.21, 4 Au 3.21

***

Entry 2:
Computed, not measured: crystalline RbNaZn at its relaxed geometry at the PBE-GGA level of DFT.

Energy above the most stable polymorph in this dataset, meV/atom: 90
Theoretical density, g/cm³: 2.3
Crystal system: trigonal
Formation energy from the elements, eV/atom: 0.15
Calculated total energy, eV/atom: -1.032

Cell lengths 4.9900, 5.4441, 5.4441 Å; angles 120.00, 90.00, 90.00 degrees
Last column: nearest neighbours and their distance in Å.
Element x y z (fractional)
Rb 0.6670 0.6667 0.3333  6 Zn 4.01-4.02, 6 Na 4.01
Na 0.1674 0.0000 0.0000  3 Zn 3.14
Zn 0.1657 0.3333 0.6667  3 Na 3.14

***

Entry 3:
Computed, not measured: crystalline AcPm2Nd2Y2 at its relaxed geometry at the PBE-GGA level of DFT.

Theoretical density, g/cm³: 6.6
Crystal system: monoclinic
Formation energy from the elements, eV/atom: 0.03
Calculated total energy, eV/atom: -5.125

Cell lengths 5.2300, 6.3801, 8.2424 Å; angles 97.62, 90.00, 114.20 degrees
Last column: nearest neighbours and their distance in Å.
Element x y z (fractional)
Pm 0.7147 0.4294 0.1490  3 Y 3.59-3.69, 4 Nd 3.67-3.75, 3 Ac 3.70, 2 Pm 3.76
Nd 0.4265 0.8530 0.2901  1 Nd 3.63, 5 Y 3.64-3.70, 4 Pm 3.67-3.75, 2 Ac 3.73
Pm 0.2853 0.5706 0.8510  3 Y 3.59-3.69, 4 Nd 3.67-3.75, 3 Ac 3.70, 2 Pm 3.76
Nd 0.5735 0.1470 0.7099  1 Nd 3.63, 5 Y 3.64-3.70, 4 Pm 3.67-3.75, 2 Ac 3.73
Y 0.8570 0.7140 0.5663  3 Pm 3.59-3.69, 5 Nd 3.64-3.70, 3 Y 3.65-3.67, 1 Ac 3.72
Ac 0.0000 0.0000 0.0000  6 Pm 3.70, 2 Y 3.72, 4 Nd 3.73
Y 0.1430 0.2860 0.4337  3 Pm 3.59-3.69, 5 Nd 3.64-3.70, 3 Y 3.65-3.67, 1 Ac 3.72

***

Entry 4:
Computed, not measured: crystalline Pm2Ni4SbP3 at its relaxed geometry at the PBE-GGA level of DFT.

Theoretical density, g/cm³: 7.6
Formation energy (no corrections), meV/atom: -829
Crystal system: tetragonal
Calculated total energy, eV/atom: -6.127

Cell lengths 4.0848, 4.0848, 9.6761 Å; angles 90.00, 90.00, 90.00 degrees
Last column: nearest neighbours and their distance in Å.
Element x y z (fractional)
Ni 0.0000 0.5000 0.3568  3 P 2.27-2.47, 2 Sb 2.47
Ni 0.0000 0.0000 0.0000  4 P 2.36
P 0.0000 0.0000 0.5000  4 Ni 2.47
Ni 0.5000 0.5000 0.0000  4 P 2.36
Pm 0.0000 0.5000 0.7686  8 Ni 3.03-3.13, 6 P 3.07-3.31, 2 Sb 3.31
Sb 0.5000 0.5000 0.5000  4 Ni 2.47
P 0.0000 0.5000 0.1226  5 Ni 2.27-2.36
Ni 0.5000 0.0000 0.6432  3 P 2.27-2.47, 2 Sb 2.47
P 0.5000 0.0000 0.8774  5 Ni 2.27-2.36
Pm 0.5000 0.0000 0.2314  8 Ni 3.03-3.13, 6 P 3.07-3.31, 2 Sb 3.31

***

Entry 5:
Computed, not measured: crystalline Sm2ThO at its relaxed geometry at the PBE-GGA level of DFT.

Energy above the most stable polymorph in this dataset, meV/atom: 0
Theoretical density, g/cm³: 8.8
Formation energy (no corrections), meV/atom: -1123
Crystal system: trigonal
Calculated total energy, eV/atom: -6.577

Cell lengths 3.5116, 3.5116, 9.8845 Å; angles 79.77, 79.77, 60.00 degrees
Last column: nearest neighbours and their distance in Å.
Element x y z (fractional)
Th 0.0000 0.0000 0.0000  2 Sm 3.45, 6 Th 3.51
Sm 0.1187 0.1187 0.6439  3 O 2.46
Sm 0.8813 0.8813 0.3561  3 O 2.46
O 0.5000 0.5000 0.5000  6 Sm 2.46

***

Entry 6:
Computed, not measured: crystalline Rb2PrCu2S4 at its relaxed geometry at the PBE-GGA level of DFT.

Theoretical density, g/cm³: 4.2
Formation energy (no corrections), meV/atom: -1090
Crystal system: monoclinic
Calculated total energy, eV/atom: -4.581

Cell lengths 4.0248, 7.9323, 7.8019 Å; angles 108.92, 104.95, 90.00 degrees
Last column: nearest neighbours and their distance in Å.
Element x y z (fractional)
Pr 0.0000 0.0000 0.0000  6 S 2.84-2.91
Cu 0.3216 0.0151 0.6433  4 S 2.37-2.38
S 0.5254 0.7678 0.0509  1 Cu 2.37
S 0.2047 0.1544 0.4094  3 Cu 2.37-2.38
Rb 0.1327 0.5586 0.2654  7 S 3.35-3.71
Cu 0.6784 0.9849 0.3567  4 S 2.37-2.38
Rb 0.8673 0.4414 0.7346  7 S 3.35-3.71
S 0.4746 0.2322 0.9491  1 Cu 2.37
S 0.7953 0.8456 0.5906  3 Cu 2.37-2.38

***

Entry 7:
Computed, not measured: crystalline KSrSm2Se4 at its relaxed geometry at the PBE-GGA level of DFT.

Theoretical density, g/cm³: 5.3
Formation energy (no corrections), meV/atom: -1824
Crystal system: monoclinic
Calculated total energy, eV/atom: -5.094

Cell lengths 4.2681, 7.7170, 7.4097 Å; angles 71.53, 90.00, 90.00 degrees
Last column: nearest neighbours and their distance in Å.
Element x y z (fractional)
Sr 0.5000 0.5000 0.0000  6 Se 3.15-3.16
Se 0.0000 0.2310 0.2525  3 Sm 2.97-3.00, 2 Sr 3.15, 1 K 3.18
Se 0.5000 0.2235 0.7634  3 Sm 2.95-2.99, 1 Sr 3.16, 2 K 3.21
Se 0.5000 0.7765 0.2366  3 Sm 2.95-2.99, 1 Sr 3.16, 2 K 3.21
K 0.0000 0.5000 0.5000  6 Se 3.18-3.21
Se 0.0000 0.7690 0.7475  3 Sm 2.97-3.00, 2 Sr 3.15, 1 K 3.18
Sm 0.0000 0.0000 0.0000  6 Se 2.95-2.97
Sm 0.5000 0.0000 0.5000  6 Se 2.99-3.00

***

Entry 8:
Computed, not measured: crystalline Pu2SiSnAu6 at its relaxed geometry at the PBE-GGA level of DFT.

Theoretical density, g/cm³: 13.2
Formation energy (no corrections), meV/atom: -193
Crystal system: trigonal
Calculated total energy, eV/atom: -5.968

Cell lengths 6.6227, 6.6227, 12.6001 Å; angles 74.76, 74.76, 60.00 degrees
Last column: nearest neighbours and their distance in Å.
Element x y z (fractional)
Au 0.3343 0.3343 0.4118  1 Si 2.48, 2 Au 2.75
Au 0.3411 0.7838 0.0912  1 Si 2.40
Au 0.2162 0.6589 0.9088  1 Si 2.40
Au 0.6657 0.6657 0.5882  1 Si 2.48, 2 Au 2.75
Pu 0.8890 0.8890 0.3330  12 Au 3.45-3.60
Sn 0.4231 0.4231 0.7308  6 Au 2.73-2.82, 1 Si 2.77
Au 0.2162 0.2162 0.9088  1 Si 2.40
Au 0.9196 0.3343 0.4118  1 Si 2.48, 2 Au 2.75
Pu 0.2782 0.2782 0.1653  12 Au 3.36-3.51
Si 0.0000 0.0000 0.0000  6 Au 2.40
Au 0.7838 0.3411 0.0912  1 Si 2.40
Au 0.0804 0.6657 0.5882  1 Si 2.48, 2 Au 2.75
Au 0.3343 0.9196 0.4118  1 Si 2.48, 2 Au 2.75
Pu 0.1110 0.1110 0.6670  12 Au 3.45-3.60
Au 0.7838 0.7838 0.0912  1 Si 2.40
Au 0.6657 0.0804 0.5882  1 Si 2.48, 2 Au 2.75
Sn 0.5769 0.5769 0.2692  6 Au 2.73-2.82, 1 Si 2.77
Pu 0.7218 0.7218 0.8347  12 Au 3.36-3.51
Si 0.5000 0.5000 0.5000  6 Au 2.48, 2 Sn 2.77
Au 0.6589 0.2162 0.9088  1 Si 2.40

***

Entry 9:
Computed, not measured: crystalline TlTe2AsI at its relaxed geometry at the PBE-GGA level of DFT.

Energy above the most stable polymorph in this dataset, meV/atom: 734
Theoretical density, g/cm³: 5.4
Formation energy (no corrections), meV/atom: 830
Crystal system: tetragonal
Calculated total energy, eV/atom: -2.140

Cell lengths 5.8591, 5.8591, 5.9435 Å; angles 90.00, 90.00, 90.00 degrees
Last column: nearest neighbours and their distance in Å.
Element x y z (fractional)
Te 0.5000 0.0000 0.0000  2 Tl 2.93
I 0.0000 0.0000 0.5000  2 Tl 2.97
Tl 0.0000 0.0000 0.0000  4 Te 2.93, 2 I 2.97
As 0.5000 0.5000 0.5000  4 I 4.14, 8 Te 4.17
Te 0.0000 0.5000 0.0000  2 Tl 2.93

***

Entry 10:
Computed, not measured: crystalline SmHoO4 at its relaxed geometry at the PBE-GGA level of DFT.

Theoretical density, g/cm³: 7.8
Formation energy (no corrections), meV/atom: -2937
Crystal system: monoclinic
Calculated total energy, eV/atom: -7.792

Cell lengths 3.8757, 3.8595, 6.3255 Å; angles 96.42, 90.00, 120.14 degrees
Last column: nearest neighbours and their distance in Å.
Element x y z (fractional)
O 0.1000 0.2000 0.3854  1 Ho 2.29, 3 Sm 2.30-2.31
O 0.3992 0.7984 0.0989  3 Ho 2.26-2.30, 1 Sm 2.39
Sm 0.4441 0.8881 0.4800  7 O 2.30-2.52
O 0.8350 0.6700 0.6917  1 O 1.51
Ho 0.0592 0.1184 0.0207  7 O 2.26-2.45
O 0.6625 0.3251 0.8233  1 O 1.51

***

Entry 11:
Computed, not measured: crystalline DyNiAu at its relaxed geometry at the PBE-GGA level of DFT.

Theoretical density, g/cm³: 12.2
Crystal system: tetragonal
Formation energy from the elements, eV/atom: -0.49
Calculated total energy, eV/atom: -5.043

Cell lengths 3.5665, 3.5665, 5.1333 Å; angles 110.33, 110.33, 90.00 degrees
Last column: nearest neighbours and their distance in Å.
Element x y z (fractional)
Ni 0.2824 0.2824 0.5647  5 Dy 2.90-3.04, 5 Au 2.91-3.01
Dy 0.6224 0.6224 0.2447  5 Au 2.89-2.98, 5 Ni 2.90-3.04
Au 0.9453 0.9453 0.8906  5 Dy 2.89-2.98, 5 Ni 2.91-3.01

***

Entry 12:
Computed, not measured: crystalline YBeAu at its relaxed geometry at the PBE-GGA level of DFT.

Energy above the most stable polymorph in this dataset, meV/atom: 412
Theoretical density, g/cm³: 7.2
Crystal system: cubic
Formation energy from the elements, eV/atom: -0.11
Calculated total energy, eV/atom: -4.600

Cell lengths 4.5728, 4.5728, 4.5728 Å; angles 60.00, 60.00, 60.00 degrees
Last column: nearest neighbours and their distance in Å.
Element x y z (fractional)
Be 0.0000 0.0000 0.0000  4 Au 2.80
Au 0.7500 0.7500 0.7500  4 Be 2.80, 4 Y 2.80
Y 0.5000 0.5000 0.5000  4 Au 2.80

***

Entry 13:
Computed, not measured: crystalline Li2SbPd9 at its relaxed geometry at the PBE-GGA level of DFT.

Theoretical density, g/cm³: 9.8
Formation energy (no corrections), meV/atom: -296
Crystal system: tetragonal
Calculated total energy, eV/atom: -4.854

Cell lengths 3.9904, 3.9904, 11.5893 Å; angles 90.00, 90.00, 90.00 degrees
Last column: nearest neighbours and their distance in Å.
Element x y z (fractional)
Li 0.0000 0.0000 0.6606  12 Pd 2.73-2.82
Pd 0.0000 0.5000 0.1736  8 Pd 2.76-2.83, 2 Li 2.77, 2 Sb 2.83
Pd 0.5000 0.0000 0.8264  8 Pd 2.76-2.83, 2 Li 2.77, 2 Sb 2.83
Pd 0.5000 0.5000 0.0000  4 Sb 2.82, 8 Pd 2.83
Pd 0.0000 0.5000 0.5000  4 Li 2.73, 8 Pd 2.74-2.82
Pd 0.5000 0.0000 0.5000  4 Li 2.73, 8 Pd 2.74-2.82
Pd 0.5000 0.5000 0.6619  8 Pd 2.74-2.76, 4 Li 2.82
Pd 0.5000 0.5000 0.3381  8 Pd 2.74-2.76, 4 Li 2.82
Pd 0.0000 0.5000 0.8264  8 Pd 2.76-2.83, 2 Li 2.77, 2 Sb 2.83
Pd 0.5000 0.0000 0.1736  8 Pd 2.76-2.83, 2 Li 2.77, 2 Sb 2.83
Li 0.0000 0.0000 0.3394  12 Pd 2.73-2.82
Sb 0.0000 0.0000 0.0000  12 Pd 2.82-2.83

***

Entry 14:
Computed, not measured: crystalline Cu2OsW at its relaxed geometry at the PBE-GGA level of DFT.

Energy above the most stable polymorph in this dataset, meV/atom: 198
Theoretical density, g/cm³: 15.1
Crystal system: orthorhombic
Formation energy from the elements, eV/atom: 0.42
Calculated total energy, eV/atom: -7.675

Cell lengths 4.7609, 4.7609, 2.6835 Å; angles 90.00, 90.00, 115.09 degrees
Last column: nearest neighbours and their distance in Å.
Element x y z (fractional)
W 0.0000 0.5000 0.5000  2 Os 2.55, 2 W 2.68, 8 Cu 2.73
Cu 0.5000 0.5000 0.0000  4 Cu 2.55-2.68, 4 W 2.73, 4 Os 2.73
Cu 0.0000 0.0000 0.0000  4 Cu 2.55-2.68, 4 Os 2.73, 4 W 2.73
Os 0.5000 0.0000 0.5000  2 W 2.55, 2 Os 2.68, 8 Cu 2.73

***

Entry 15:
Computed, not measured: crystalline GdThPa4 at its relaxed geometry at the PBE-GGA level of DFT.

Theoretical density, g/cm³: 13.3
Crystal system: cubic
Formation energy from the elements, eV/atom: 0.16
Calculated total energy, eV/atom: -9.751

Cell lengths 6.1363, 6.1363, 6.1363 Å; angles 60.00, 60.00, 60.00 degrees
Last column: nearest neighbours and their distance in Å.
Element x y z (fractional)
Pa 0.6248 0.6248 0.1256  6 Pa 3.06-3.07
Th 0.2500 0.2500 0.2500  12 Pa 3.60, 4 Gd 3.76
Gd 0.0000 0.0000 0.0000  12 Pa 3.60, 4 Th 3.76
Pa 0.6248 0.1256 0.6248  6 Pa 3.06-3.07
Pa 0.1256 0.6248 0.6248  6 Pa 3.06-3.07
Pa 0.6248 0.6248 0.6248  6 Pa 3.06-3.07

***

Entry 16:
Computed, not measured: crystalline CaNdSm2Sb4 at its relaxed geometry at the PBE-GGA level of DFT.

Theoretical density, g/cm³: 6.3
Formation energy (no corrections), meV/atom: -1063
Crystal system: orthorhombic
Calculated total energy, eV/atom: -5.150

Cell lengths 6.3604, 6.3604, 7.7972 Å; angles 114.06, 114.06, 90.01 degrees
Last column: nearest neighbours and their distance in Å.
Element x y z (fractional)
Sb 0.6888 0.6888 0.5037  1 Nd 3.16, 4 Sm 3.18, 1 Ca 3.21
Ca 0.4376 0.4376 0.0000  6 Sb 3.18-3.21
Sm 0.1870 0.6870 0.5000  6 Sb 3.18
Sb 0.1851 0.1851 0.4963  1 Nd 3.16, 4 Sm 3.18, 1 Ca 3.21
Sb 0.9376 0.4372 0.0000  2 Nd 3.18, 2 Ca 3.18, 2 Sm 3.18
Sb 0.4372 0.9376 0.0000  2 Nd 3.18, 2 Ca 3.18, 2 Sm 3.18
Sm 0.6870 0.1870 0.5000  6 Sb 3.18
Nd 0.9371 0.9371 0.0000  6 Sb 3.16-3.18

***

Entry 17:
Computed, not measured: crystalline Ni3Mo at its relaxed geometry at the PBE-GGA level of DFT.

Theoretical density, g/cm³: 9.3
Crystal system: monoclinic
Formation energy from the elements, eV/atom: 0.00
Calculated total energy, eV/atom: -7.042

Cell lengths 2.5985, 4.4672, 4.4306 Å; angles 99.99, 90.00, 106.91 degrees
Last column: nearest neighbours and their distance in Å.
Element x y z (fractional)
Ni 0.5000 0.0000 0.5000  8 Ni 2.54-2.60, 4 Mo 2.57
Mo 0.0000 0.0000 0.0000  10 Ni 2.56-2.61, 2 Mo 2.60
Ni 0.7544 0.5087 0.2538  9 Ni 2.54-2.60, 3 Mo 2.56-2.61
Ni 0.2456 0.4913 0.7462  9 Ni 2.54-2.60, 3 Mo 2.56-2.61

***

Entry 18:
Computed, not measured: crystalline SrSiNi2 at its relaxed geometry at the PBE-GGA level of DFT.

Theoretical density, g/cm³: 5.9
Formation energy (no corrections), meV/atom: 253
Crystal system: monoclinic
Calculated total energy, eV/atom: -4.414

Cell lengths 4.4861, 7.1562, 3.2582 Å; angles 62.51, 90.29, 129.05 degrees
Last column: nearest neighbours and their distance in Å.
Element x y z (fractional)
Si 0.5000 0.5000 0.0000  8 Ni 2.77-2.78
Ni 0.0000 0.0000 0.0000  4 Sr 2.77-2.78, 4 Si 2.77-2.78
Sr 0.5000 0.0000 0.5000  8 Ni 2.77-2.78
Ni 0.0000 0.5000 0.5000  4 Si 2.77-2.78, 4 Sr 2.77-2.78

***

Entry 19:
Computed, not measured: crystalline Li4YNi at its relaxed geometry at the PBE-GGA level of DFT.

Theoretical density, g/cm³: 2.9
Crystal system: cubic
Formation energy from the elements, eV/atom: 0.15
Calculated total energy, eV/atom: -3.164

Cell lengths 5.2362, 5.2362, 5.2362 Å; angles 60.00, 60.00, 60.00 degrees
Last column: nearest neighbours and their distance in Å.
Element x y z (fractional)
Ni 0.7500 0.7500 0.7500  12 Li 3.06, 4 Y 3.21
Y 0.0000 0.0000 0.0000  12 Li 3.08, 4 Ni 3.21
Li 0.3780 0.3780 0.8661  6 Li 2.56-2.68
Li 0.8661 0.3780 0.3780  6 Li 2.56-2.68
Li 0.3780 0.8661 0.3780  6 Li 2.56-2.68
Li 0.3780 0.3780 0.3780  6 Li 2.56-2.68

***

Entry 20:
Computed, not measured: crystalline CuTe2W at its relaxed geometry at the PBE-GGA level of DFT.

Energy above the most stable polymorph in this dataset, meV/atom: 190
Theoretical density, g/cm³: 10.7
Formation energy (no corrections), meV/atom: 475
Crystal system: tetragonal
Calculated total energy, eV/atom: -5.358

Cell lengths 3.3821, 3.3821, 6.8421 Å; angles 90.00, 90.00, 90.00 degrees
Last column: nearest neighbours and their distance in Å.
Element x y z (fractional)
Te 0.0000 0.0000 0.4900  4 W 2.90, 4 Cu 2.98
Te 0.0000 0.0000 0.0100  4 W 2.90, 4 Cu 2.98
W 0.5000 0.5000 0.2500  8 Te 2.90
Cu 0.5000 0.5000 0.7500  8 Te 2.98